VASP calculation (GGA-PBE) on a relaxed AcSmEr crystal.

The value obtained for the total energy is -3.837 eV per atom.

The space group is P2_13 (No. 198) and the conventional cell measures 7.7791, 7.7791 and 7.7791 Å, with angles of 90.00, 90.00 and 90.00 degrees. Symmetry generates all atoms from Ac at (0.1418, 0.3582, 0.6418), Sm at (0.1685, 0.1685, 0.1685) and Er at (0.0300, 0.9700, 0.4700).